1.
Density functional theory data (PBE) for HfCdHg2 after structural relaxation.

Values from the calculation:
* DFT total energy: -11.47 eV/f.u.
* crystal system: tetragonal
* SG: P4/mmm

Cell lengths 3.2588, 3.2588, 8.1157 Å; angles 90.00, 90.00, 90.00 degrees
Closest atoms and distances in Å follow each position.
Atoms (fractional coordinates):
1 Hf 0.0000 0.0000 0.0000  8 Hg 3.04, 4 Hf 3.26
2 Cd 0.0000 0.0000 0.5000  8 Hg 3.10, 4 Cd 3.26
3 Hg 0.5000 0.5000 0.2449  4 Hf 3.04, 4 Cd 3.10, 4 Hg 3.26
4 Hg 0.5000 0.5000 0.7551  4 Hf 3.04, 4 Cd 3.10, 4 Hg 3.26

=====

2.
Density functional theory data (PBE) for Sm6Dy2Er3Tm after structural relaxation.

Values from the calculation:
* DFT total energy: -55.50 eV/f.u.
* crystal system: monoclinic
* SG: C2/m

Cell lengths 6.1947, 6.1947, 11.7591 Å; angles 95.02, 95.02, 119.98 degrees
Closest atoms and distances in Å follow each position.
Atoms (fractional coordinates):
1 Sm 0.0838 0.4167 0.7503  3 Er 3.55, 2 Dy 3.56, 1 Tm 3.56, 6 Sm 3.57-3.58
2 Sm 0.2493 0.2493 0.2495  3 Er 3.55, 1 Tm 3.56, 2 Dy 3.56, 6 Sm 3.57-3.58
3 Sm 0.4167 0.0838 0.7503  3 Er 3.55, 2 Dy 3.56, 1 Tm 3.56, 6 Sm 3.57-3.58
4 Sm 0.5833 0.9162 0.2497  3 Er 3.55, 2 Dy 3.56, 1 Tm 3.56, 6 Sm 3.57-3.58
5 Sm 0.7507 0.7507 0.7505  3 Er 3.55, 1 Tm 3.56, 2 Dy 3.56, 6 Sm 3.57-3.58
6 Sm 0.9162 0.5833 0.2497  3 Er 3.55, 2 Dy 3.56, 1 Tm 3.56, 6 Sm 3.57-3.58
7 Dy 0.3333 0.6667 0.5000  6 Sm 3.56, 3 Dy 3.58, 3 Tm 3.58
8 Dy 0.6667 0.3333 0.5000  6 Sm 3.56, 3 Dy 3.58, 3 Tm 3.58
9 Er 0.1666 0.8334 0.0000  6 Sm 3.55, 6 Er 3.57-3.58
10 Er 0.5000 0.5000 0.0000  6 Sm 3.55, 6 Er 3.58
11 Er 0.8334 0.1666 0.0000  6 Sm 3.55, 6 Er 3.57-3.58
12 Tm 0.0000 0.0000 0.5000  6 Sm 3.56, 6 Dy 3.58

=====

3.
Density functional theory data (PBE) for Al2SbAu2 after structural relaxation.

Values from the calculation:
* DFT total energy: -18.46 eV/f.u.
* crystal system: tetragonal
* SG: P4/mbm

Cell lengths 7.9740, 7.9740, 3.0567 Å; angles 90.00, 90.00, 90.00 degrees
Closest atoms and distances in Å follow each position.
Atoms (fractional coordinates):
1 Al 0.1637 0.3363 0.0000  6 Au 2.77-2.82, 2 Sb 2.98, 2 Al 3.06
2 Al 0.3363 0.8363 0.0000  6 Au 2.77-2.82, 2 Sb 2.98, 2 Al 3.06
3 Al 0.6637 0.1637 0.0000  6 Au 2.77-2.82, 2 Sb 2.98, 2 Al 3.06
4 Al 0.8363 0.6637 0.0000  6 Au 2.77-2.82, 2 Sb 2.98, 2 Al 3.06
5 Sb 0.0000 0.0000 0.0000  4 Al 2.98, 2 Sb 3.06
6 Sb 0.5000 0.5000 0.0000  4 Al 2.98, 2 Sb 3.06
7 Au 0.1312 0.6312 0.5000  6 Al 2.77-2.82, 3 Au 2.96-3.06
8 Au 0.3688 0.1312 0.5000  6 Al 2.77-2.82, 3 Au 2.96-3.06
9 Au 0.6312 0.8688 0.5000  6 Al 2.77-2.82, 3 Au 2.96-3.06
10 Au 0.8688 0.3688 0.5000  6 Al 2.77-2.82, 3 Au 2.96-3.06

=====

4.
Density functional theory data (PBE) for RbYSe2F after structural relaxation.

Values from the calculation:
* DFT total energy: -26.04 eV/f.u.
* crystal system: tetragonal
* SG: P4/mmm

Cell lengths 5.6697, 5.6697, 4.4615 Å; angles 90.00, 90.00, 90.00 degrees
Closest atoms and distances in Å follow each position.
Atoms (fractional coordinates):
1 Rb 0.0000 0.0000 0.0000  8 Se 3.61, 4 F 4.01
2 Y 0.5000 0.5000 0.5000  2 F 2.23
3 Se 0.0000 0.5000 0.5000  2 Y 2.83
4 Se 0.5000 0.0000 0.5000  2 Y 2.83
5 F 0.5000 0.5000 0.0000  2 Y 2.23

=====

5.
Density functional theory data (PBE) for Pu3TeI7 after structural relaxation.

Values from the calculation:
* DFT total energy: -68.51 eV/f.u.
* crystal system: trigonal
* SG: P3m1

Cell lengths 8.9740, 8.9740, 7.3781 Å; angles 90.00, 90.00, 120.00 degrees
Closest atoms and distances in Å follow each position.
Atoms (fractional coordinates):
1 Pu 0.0067 0.5033 0.0000  1 Te 3.05, 5 I 3.10-3.21
2 Pu 0.4967 0.5033 0.0000  1 Te 3.05, 5 I 3.10-3.21
3 Pu 0.4967 0.9933 0.0000  1 Te 3.05, 5 I 3.10-3.21
4 Te 0.3333 0.6667 0.2293  3 Pu 3.05
5 I 0.1703 0.3406 0.7591  2 Pu 3.10
6 I 0.1703 0.8297 0.7591  2 Pu 3.10
7 I 0.3425 0.1713 0.2323  2 Pu 3.10
8 I 0.6594 0.8297 0.7591  2 Pu 3.10
9 I 0.6667 0.3333 0.7529  3 Pu 3.21
10 I 0.8287 0.1713 0.2323  2 Pu 3.10
11 I 0.8287 0.6575 0.2323  2 Pu 3.10

=====

6.
Density functional theory data (PBE) for La2CoPC after structural relaxation.

Values from the calculation:
* DFT total energy: -34.47 eV/f.u.
* crystal system: tetragonal
* SG: P4/mmm

Cell lengths 5.2760, 5.2760, 3.6482 Å; angles 90.00, 90.00, 90.00 degrees
Closest atoms and distances in Å follow each position.
Atoms (fractional coordinates):
1 La 0.0000 0.5000 0.0000  2 C 2.64
2 La 0.5000 0.0000 0.0000  2 C 2.64
3 Co 0.0000 0.0000 0.5000  2 C 1.82
4 P 0.5000 0.5000 0.5000  8 La 3.21
5 C 0.0000 0.0000 0.0000  2 Co 1.82

=====

7.
Density functional theory data (PBE) for YAsPb3 after structural relaxation.

Values from the calculation:
* DFT total energy: -20.49 eV/f.u.
* crystal system: cubic
* SG: Pm-3m

Cell lengths 5.5454, 5.5454, 5.5454 Å; angles 90.00, 90.00, 90.00 degrees
Closest atoms and distances in Å follow each position.
Atoms (fractional coordinates):
1 Y 0.0000 0.0000 0.0000  12 Pb 3.92
2 As 0.5000 0.5000 0.5000  6 Pb 2.77
3 Pb 0.0000 0.5000 0.5000  2 As 2.77
4 Pb 0.5000 0.0000 0.5000  2 As 2.77
5 Pb 0.5000 0.5000 0.0000  2 As 2.77

=====

8.
Density functional theory data (PBE) for SiOs2Cl after structural relaxation.

Values from the calculation:
* DFT total energy: -26.98 eV/f.u.
* crystal system: orthorhombic
* SG: Pmm2

Cell lengths 2.8281, 3.8804, 5.3002 Å; angles 90.00, 90.00, 90.00 degrees
Closest atoms and distances in Å follow each position.
Atoms (fractional coordinates):
1 Si 0.0000 0.0000 0.0000  6 Os 2.56-2.74, 2 Si 2.83
2 Os 0.0000 0.0000 0.5169  4 Cl 2.54, 2 Si 2.56-2.74, 2 Os 2.83
3 Os 0.5000 0.5000 0.8096  1 Cl 2.37, 4 Si 2.60
4 Cl 0.5000 0.5000 0.3624  5 Os 2.37-2.54

=====

9.
Density functional theory data (PBE) for CuAs after structural relaxation.

Values from the calculation:
* DFT total energy: -8.44 eV/f.u.
* crystal system: tetragonal
* SG: P4/m

Cell lengths 8.5277, 8.5277, 4.4181 Å; angles 90.00, 90.00, 90.00 degrees
Closest atoms and distances in Å follow each position.
Atoms (fractional coordinates):
1 Cu 0.0181 0.7073 0.0000  4 As 2.45-2.54, 2 Cu 2.58
2 Cu 0.1350 0.3188 0.5000  5 As 2.42-2.65, 2 Cu 2.58
3 Cu 0.2927 0.0181 0.0000  4 As 2.45-2.54, 2 Cu 2.58
4 Cu 0.3188 0.8650 0.5000  5 As 2.42-2.65, 2 Cu 2.58
5 Cu 0.6812 0.1350 0.5000  5 As 2.42-2.65, 2 Cu 2.58
6 Cu 0.7073 0.9819 0.0000  4 As 2.45-2.54, 2 Cu 2.58
7 Cu 0.8650 0.6812 0.5000  5 As 2.42-2.65, 2 Cu 2.58
8 Cu 0.9819 0.2927 0.0000  4 As 2.45-2.54, 2 Cu 2.58
9 As 0.1440 0.6295 0.5000  5 Cu 2.42-2.65
10 As 0.2693 0.3083 0.0000  4 Cu 2.45-2.49
11 As 0.3083 0.7307 0.0000  4 Cu 2.45-2.49
12 As 0.3705 0.1440 0.5000  5 Cu 2.42-2.65
13 As 0.6295 0.8560 0.5000  5 Cu 2.42-2.65
14 As 0.6917 0.2693 0.0000  4 Cu 2.45-2.49
15 As 0.7307 0.6917 0.0000  4 Cu 2.45-2.49
16 As 0.8560 0.3705 0.5000  5 Cu 2.42-2.65

=====

10.
Density functional theory data (PBE) for NbSeN2Cl after structural relaxation.

Values from the calculation:
* DFT total energy: -29.84 eV/f.u.
* crystal system: tetragonal
* SG: P4/mmm

Cell lengths 3.9837, 3.9837, 5.6914 Å; angles 90.00, 90.00, 90.00 degrees
Closest atoms and distances in Å follow each position.
Atoms (fractional coordinates):
1 Nb 0.0000 0.0000 0.0000  4 N 1.99
2 Se 0.0000 0.0000 0.5000  4 Cl 2.82, 2 Nb 2.85
3 N 0.0000 0.5000 0.0000  2 Nb 1.99
4 N 0.5000 0.0000 0.0000  2 Nb 1.99
5 Cl 0.5000 0.5000 0.5000  4 Se 2.82

=====

11.
Density functional theory data (PBE) for EuTlH after structural relaxation.

Values from the calculation:
* DFT total energy: -16.73 eV/f.u.
* crystal system: trigonal
* SG: P3m1

Cell lengths 3.8948, 3.8948, 5.3878 Å; angles 90.00, 90.00, 120.00 degrees
Closest atoms and distances in Å follow each position.
Atoms (fractional coordinates):
1 Eu 0.0000 0.0000 0.0000  3 H 2.25
2 Tl 0.6667 0.3333 0.5000  6 H 3.45-3.57, 6 Eu 3.51
3 H 0.3333 0.6667 0.0147  3 Eu 2.25

=====

12.
Density functional theory data (PBE) for K3Si after structural relaxation.

Values from the calculation:
* DFT total energy: -7.34 eV/f.u.
* crystal system: tetragonal
* SG: P4/mmm

Cell lengths 4.1340, 4.1340, 11.0465 Å; angles 90.00, 90.00, 90.00 degrees
Closest atoms and distances in Å follow each position.
Atoms (fractional coordinates):
1 K 0.0000 0.0000 0.0000  4 K 4.13
2 K 0.5000 0.5000 0.3305  4 Si 3.47, 1 K 3.75
3 K 0.5000 0.5000 0.6695  4 Si 3.47, 1 K 3.75
4 Si 0.0000 0.0000 0.5000  8 K 3.47